Compound: Ba2AlZn3Au4
Source: Alexandria via LeMat-Bulk
Functional: PBE-GGA
Structure: optimized geometry

a b c (Å): 4.763 4.763 10.352
angles (deg): 90.00 90.00 90.00
Fractional positions:
Zn (0.000, 0.000, 0.500)
Au (0.000, 0.500, 0.384)
Ba (0.500, 0.000, 0.243)
Au (0.500, 0.000, 0.616)
Au (0.500, 0.500, 0.000)
Au (0.000, 0.000, 0.000)
Al (0.500, 0.500, 0.500)
Zn (0.000, 0.500, 0.123)
Ba (0.000, 0.500, 0.757)
Zn (0.500, 0.000, 0.877)

Properties
E in eV per atom: -2.97
Energy of formation from the pure elements in meV/atom: -514.4